DFT (PBE-GGA) results for a relaxed YHoGaSi crystal.

```
YHoGaSi
1.0
-3.650 -1.474 -1.726
0.483 -3.429 1.907
-0.922 2.665 5.026
Y Ga Ho Si
1 1 1 1
Direct
0.859 0.500 0.718
0.424 0.000 0.849
0.140 0.000 0.280
0.576 0.500 0.153
```

Output
V   90.9 Å³ per cell
Density of states at the Fermi level   3.28 states/eV/cell
ΔE_f (raw)   -0.76 eV/atom
Symmetry   Amm2 (38)